DFT (PBE-GGA) results for an optimized crystal structure of Na2HgAs2.

a b c (Å): 9.228 9.228 2.784
angles (deg): 90.00 90.00 90.00
Fractional coordinates of all 10 atoms:
As  0.335  0.165  0.500
As  0.835  0.335  0.500
As  0.665  0.835  0.500
As  0.165  0.665  0.500
Hg  0.500  0.500  0.000
Hg  0.000  0.000  0.000
Na  0.869  0.631  0.000
Na  0.131  0.369  0.000
Na  0.631  0.131  0.000
Na  0.369  0.869  0.000

Calculated values
The density of states at the Fermi level comes out at 0.388 states/eV/atom. For the excess energy over the best structure of this formula in the dataset, the calculation gives 213.0 meV per atom. As for the space group: P4/mbm (127).



DFT (PBE-GGA) results for an optimized crystal structure of Na6Hg23As.

a b c (Å): 10.337 10.337 10.337
angles (deg): 60.00 60.00 60.00
Fractional coordinates of all 30 atoms:
Hg  0.873  0.376  0.376
Hg  0.000  0.000  0.000
Hg  0.601  0.133  0.133
Hg  0.500  0.000  0.500
Hg  0.867  0.867  0.867
Hg  0.127  0.624  0.624
Hg  0.624  0.127  0.624
Hg  0.376  0.873  0.376
Hg  0.000  0.500  0.000
Hg  0.133  0.601  0.133
Hg  0.867  0.867  0.399
Hg  0.500  0.000  0.000
Hg  0.133  0.133  0.601
Hg  0.624  0.624  0.127
Hg  0.000  0.500  0.500
Hg  0.133  0.133  0.133
Hg  0.399  0.867  0.867
Hg  0.624  0.624  0.624
Hg  0.500  0.500  0.000
Hg  0.867  0.399  0.867
Hg  0.376  0.376  0.376
Hg  0.376  0.376  0.873
Hg  0.000  0.000  0.500
Na  0.246  0.246  0.754
Na  0.246  0.754  0.754
Na  0.754  0.246  0.246
Na  0.754  0.246  0.754
Na  0.246  0.754  0.246
Na  0.754  0.754  0.246
As  0.500  0.500  0.500

Calculated values
The density of states at the Fermi level comes out at 0.221 states/eV/atom. As for the space group: Fm-3m (225).



DFT (PBE-GGA) results for an optimized crystal structure of Na3HgAs.

a b c (Å): 6.057 5.239 8.779
angles (deg): 89.97 92.21 89.96
Fractional coordinates of all 10 atoms:
Na  0.056  0.344  0.727
Na  0.355  0.845  0.888
Na  0.154  0.844  0.215
Na  0.688  0.846  0.531
Na  0.257  0.344  0.400
Na  0.724  0.343  0.084
Hg  0.856  0.843  0.892
Hg  0.555  0.346  0.722
As  0.184  0.844  0.558
As  0.228  0.344  0.057

Calculated values
For the excess energy over the best structure of this formula in the dataset, the calculation gives 0.0 meV per atom. As for the space group: P-1 (2).



DFT (PBE-GGA) results for an optimized crystal structure of Na2HgAs2.

a b c (Å): 7.625 7.625 4.301
angles (deg): 90.00 90.00 90.00
Fractional coordinates of all 10 atoms:
Na  0.181  0.681  0.500
Na  0.681  0.819  0.500
Na  0.319  0.181  0.500
Na  0.819  0.319  0.500
Hg  0.500  0.500  0.000
Hg  0.000  0.000  0.000
As  0.111  0.389  0.000
As  0.389  0.889  0.000
As  0.889  0.611  0.000
As  0.611  0.111  0.000

Calculated values
The density of states at the Fermi level comes out at 0.361 states/eV/atom. For the excess energy over the best structure of this formula in the dataset, the calculation gives 23.3 meV per atom. As for the space group: P4/mbm (127).



DFT (PBE-GGA) results for an optimized crystal structure of Na2HgAs2.

a b c (Å): 3.813 3.813 9.196
angles (deg): 78.03 78.03 90.00
Fractional coordinates of all 5 atoms:
Hg  0.000  0.000  0.000
Na  0.612  0.612  0.777
Na  0.388  0.388  0.223
As  0.250  0.750  0.500
As  0.750  0.250  0.500

Calculated values
The density of states at the Fermi level comes out at 0.480 states/eV/atom. For the excess energy over the best structure of this formula in the dataset, the calculation gives 123.2 meV per atom. As for the space group: I4/mmm (139).



DFT (PBE-GGA) results for an optimized crystal structure of Na2HgAs.

a b c (Å): 4.557 5.922 8.549
angles (deg): 113.56 90.00 90.00
Fractional coordinates of all 8 atoms:
Na  0.750  0.232  0.420
Na  0.250  0.803  0.073
Na  0.750  0.197  0.927
Na  0.250  0.768  0.580
As  0.250  0.370  0.208
As  0.750  0.630  0.792
Hg  0.750  0.656  0.286
Hg  0.250  0.344  0.714

Calculated values
The density of states at the Fermi level comes out at 0.469 states/eV/atom. For the excess energy over the best structure of this formula in the dataset, the calculation gives 0.0 meV per atom. As for the space group: P2_1/m (11).



Number 1: V 237.13 Å³/cell, formation enthalpy at 0 K -65 meV per atom. Number 2: V 780.97 Å³/cell, formation enthalpy at 0 K -135 meV per atom. Number 3: V 278.35 Å³/cell, formation enthalpy at 0 K -319 meV per atom. Number 4: V 250.05 Å³/cell, formation enthalpy at 0 K -255 meV per atom. Number 5: V 127.83 Å³/cell, formation enthalpy at 0 K -155 meV per atom. Number 6: V 211.48 Å³/cell, formation enthalpy at 0 K -254 meV per atom.